# KSrRuPb2 (SCAN, single point on PBEsol structure)
data_KSrRuPb2
_chemical_formula_sum 'K1 Sr1 Ru1 Pb2'
_space_group_name_H-M_alt 'P 4/m m m'
_space_group_IT_number 123
_space_group_name_Hall '-P 4 2'
_cell_length_a 5.626
_cell_length_b 5.626
_cell_length_c 5.591
_cell_angle_alpha 90.00
_cell_angle_beta 90.00
_cell_angle_gamma 90.00
loop_
_atom_site_label
_atom_site_type_symbol
_atom_site_fract_x
_atom_site_fract_y
_atom_site_fract_z
K1 K 0.000 0.000 0.000
Sr1 Sr 0.000 0.000 0.500
Ru1 Ru 0.500 0.500 0.500
Pb1 Pb 0.000 0.500 0.000
# mass density	6.0	g cm⁻³
# N(E_F)	0.433	states/eV/atom
# ΔH_f (0 K)	1.472	eV per atom
# magnetic moment	2.80	μB per formula unit